First-principles (GGA-PBE) data for AcHg2Au3 after structural relaxation, as listed in Alexandria via LeMat-Bulk.

a = 4.9850 Å, b = 4.9850 Å, c = 13.3757 Å
α = 90.00°, β = 90.00°, γ = 120.00°
Last column: nearest neighbours and their distance in Å.
Element x y z (fractional)
1 Ac 0.0000 0.0000 0.2500  8 Au 3.25-3.34, 6 Hg 3.58
2 Ac 0.0000 0.0000 0.7500  8 Au 3.25-3.34, 6 Hg 3.58
3 Hg 0.6667 0.3333 0.4097  7 Au 2.94-3.12
4 Hg 0.3333 0.6667 0.5903  7 Au 2.94-3.12
5 Hg 0.3333 0.6667 0.9097  7 Au 2.94-3.12
6 Hg 0.6667 0.3333 0.0903  7 Au 2.94-3.12
7 Au 0.0000 0.0000 0.5000  6 Hg 3.12, 2 Ac 3.34, 6 Au 3.41
8 Au 0.0000 0.0000 0.0000  6 Hg 3.12, 2 Ac 3.34, 6 Au 3.41
9 Au 0.6667 0.3333 0.6364  4 Hg 2.94-3.03, 1 Au 3.04, 3 Ac 3.25
10 Au 0.3333 0.6667 0.1364  4 Hg 2.94-3.03, 1 Au 3.04, 3 Ac 3.25
11 Au 0.6667 0.3333 0.8636  4 Hg 2.94-3.03, 1 Au 3.04, 3 Ac 3.25
12 Au 0.3333 0.6667 0.3636  4 Hg 2.94-3.03, 1 Au 3.04, 3 Ac 3.25

Output
M_tot   0.00 μB per formula unit
Formation energy   -9.7 kcal/mol of atoms
SG   P6_3/mmc
D(E_F)   1.807 states/eV/f.u.